[1]
## PdSN2Cl (PBE)

Data for a relaxed structure of PdSN2Cl.

Unit cell a=3.4947 b=3.4947 c=7.5643 alpha=90.00 beta=90.00 gamma=90.00
Closest atoms and distances in Å follow each position.
Space group P4/mmm (No. 123)
Symmetry-distinct sites (fractional):
Pd: 0.0000 0.0000 0.0000 [1 per cell]  4 S 2.47
S: 0.5000 0.5000 0.0000 [1 per cell]  4 Pd 2.47
N: 0.0000 0.5000 0.5000 [2 per cell]  2 Cl 1.75
Cl: 0.5000 0.5000 0.5000 [1 per cell]  4 N 1.75

Values from the calculation:
Energy relative to the elements, uncorrected in eV/atom: 2.096
E in eV per atom: -3.47
M_tot in μB per cell: 0.0

---

[2]
## PdSN2Cl (PBE)

Data for a relaxed structure of PdSN2Cl.

Unit cell a=3.9713 b=3.9713 c=5.2473 alpha=90.00 beta=90.00 gamma=90.00
Closest atoms and distances in Å follow each position.
Space group P4/mmm (No. 123)
Symmetry-distinct sites (fractional):
Pd: 0.0000 0.0000 0.0000 [1 per cell]  4 N 1.99
S: 0.0000 0.0000 0.5000 [1 per cell]  2 Pd 2.62, 4 Cl 2.81
N: 0.0000 0.5000 0.0000 [2 per cell]  2 Pd 1.99
Cl: 0.5000 0.5000 0.5000 [1 per cell]  4 S 2.81

Values from the calculation:
Energy relative to the elements, uncorrected in eV/atom: 1.567
E in eV per atom: -4.00
M_tot in μB per cell: 3.9

---

[3]
## PdSe2NCl (PBE)

Data for a relaxed structure of PdSe2NCl.

Unit cell a=5.2031 b=5.2031 c=3.3075 alpha=90.00 beta=90.00 gamma=90.00
Closest atoms and distances in Å follow each position.
Space group P4/mmm (No. 123)
Symmetry-distinct sites (fractional):
Pd: 0.0000 0.0000 0.0000 [1 per cell]  8 Se 3.08, 2 Pd 3.31
Se: 0.0000 0.5000 0.5000 [2 per cell]  2 Cl 2.60
N: 0.5000 0.5000 0.0000 [1 per cell]  2 Cl 1.65
Cl: 0.5000 0.5000 0.5000 [1 per cell]  2 N 1.65

Values from the calculation:
Energy relative to the elements, uncorrected in eV/atom: 1.490
E in eV per atom: -2.98
M_tot in μB per cell: 0.0

---

[4]
## PdSe2NCl (PBE)

Data for a relaxed structure of PdSe2NCl.

Unit cell a=5.2968 b=5.2968 c=3.6605 alpha=90.00 beta=90.00 gamma=90.00
Closest atoms and distances in Å follow each position.
Space group P4/mmm (No. 123)
Symmetry-distinct sites (fractional):
Pd: 0.0000 0.0000 0.0000 [1 per cell]  2 N 1.83
Se: 0.0000 0.5000 0.0000 [2 per cell]  2 Pd 2.65
N: 0.0000 0.0000 0.5000 [1 per cell]  2 Pd 1.83
Cl: 0.5000 0.5000 0.5000 [1 per cell]  8 Se 3.22

Values from the calculation:
Energy relative to the elements, uncorrected in eV/atom: 0.954
E in eV per atom: -3.51
M_tot in μB per cell: 0.1

---

[5]
## TePdN2Cl (PBE)

Data for a relaxed structure of TePdN2Cl.

Unit cell a=3.7422 b=3.7422 c=8.0516 alpha=90.00 beta=90.00 gamma=90.00
Closest atoms and distances in Å follow each position.
Space group P4/mmm (No. 123)
Symmetry-distinct sites (fractional):
Te: 0.0000 0.0000 0.0000 [1 per cell]  4 Pd 2.65
Pd: 0.5000 0.5000 0.0000 [1 per cell]  4 Te 2.65
N: 0.0000 0.5000 0.5000 [2 per cell]  2 Cl 1.87
Cl: 0.0000 0.0000 0.5000 [1 per cell]  4 N 1.87

Values from the calculation:
Energy relative to the elements, uncorrected in eV/atom: 2.060
E in eV per atom: -3.31
M_tot in μB per cell: 0.9

---

[6]
## TePdN2Cl (PBE)

Data for a relaxed structure of TePdN2Cl.

Unit cell a=4.0424 b=4.0424 c=5.8517 alpha=90.00 beta=90.00 gamma=90.00
Closest atoms and distances in Å follow each position.
Space group P4/mmm (No. 123)
Symmetry-distinct sites (fractional):
Te: 0.0000 0.0000 0.0000 [1 per cell]  4 Cl 2.86, 2 Pd 2.93
Pd: 0.0000 0.0000 0.5000 [1 per cell]  4 N 2.02
N: 0.0000 0.5000 0.5000 [2 per cell]  2 Pd 2.02
Cl: 0.5000 0.5000 0.0000 [1 per cell]  4 Te 2.86

Values from the calculation:
Energy relative to the elements, uncorrected in eV/atom: 1.318
E in eV per atom: -4.05
M_tot in μB per cell: 3.7

---

[7]
## YPd2NCl (PBE)

Data for a relaxed structure of YPd2NCl.

Unit cell a=5.2768 b=5.2768 c=5.2362 alpha=90.00 beta=90.00 gamma=90.00
Closest atoms and distances in Å follow each position.
Space group P4/mmm (No. 123)
Symmetry-distinct sites (fractional):
Y: 0.0000 0.0000 0.0000 [1 per cell]  2 Cl 2.62, 4 Pd 2.64
Pd: 0.0000 0.5000 0.0000 [2 per cell]  2 Y 2.64
N: 0.5000 0.5000 0.5000 [1 per cell]  8 Pd 3.72, 4 Cl 3.73
Cl: 0.0000 0.0000 0.5000 [1 per cell]  2 Y 2.62

Values from the calculation:
Energy relative to the elements, uncorrected in eV/atom: 0.999
E in eV per atom: -4.41
M_tot in μB per cell: 2.8

---

[8]
## Pm3NCl5 (PBE)

Data for a relaxed structure of Pm3NCl5.

Unit cell a=12.4552 b=9.7398 c=9.0158 alpha=90.00 beta=112.11 gamma=90.00
Closest atoms and distances in Å follow each position.
Space group C2/m (No. 12)
Symmetry-distinct sites (fractional):
Pm: 0.0000 0.0000 0.0000 [2 per cell]  2 N 2.40
Pm: 0.0000 0.0000 0.5000 [2 per cell]  2 N 2.38
Pm: 0.1423 0.5000 0.1368 [4 per cell]  6 Cl 2.67-2.91
Pm: 0.2476 0.5000 0.6145 [4 per cell]  1 N 2.11
N: 0.0693 0.0000 0.2874 [4 per cell]  1 Pm 2.11
Cl: 0.0000 0.2836 0.0000 [4 per cell]  3 Pm 2.73-2.76
Cl: 0.0321 0.5000 0.3393 [4 per cell]  2 Pm 2.67-2.89
Cl: 0.1974 0.1915 0.6401 [8 per cell]  4 Pm 2.91-3.23
Cl: 0.2379 0.0000 0.0698 [4 per cell]  3 Pm 2.78-2.79

Values from the calculation:
Energy relative to the elements, uncorrected in eV/atom: -1.838
E in eV per atom: -5.37
M_tot in μB per cell: 0.0

---

[9]
## Pm2NCl2 (PBE)

Data for a relaxed structure of Pm2NCl2.

Unit cell a=3.7387 b=3.7387 c=30.1810 alpha=90.00 beta=90.00 gamma=120.00
Closest atoms and distances in Å follow each position.
Space group R-3m (No. 166, hexagonal axes)
Symmetry-distinct sites (fractional):
Pm: 0.0000 0.0000 0.1215 [6 per cell]  3 N 2.55, 3 Cl 2.82
N: 0.0000 0.0000 0.5000 [3 per cell]  6 Pm 2.55
Cl: 0.0000 0.0000 0.2722 [6 per cell]  3 Pm 2.82

Values from the calculation:
Energy relative to the elements, uncorrected in eV/atom: -1.892
E in eV per atom: -6.20
M_tot in μB per cell: 0.0

---

[10]
## Pm6NCl12 (PBE)

Data for a relaxed structure of Pm6NCl12.

Unit cell a=9.7863 b=9.7863 c=17.3885 alpha=90.00 beta=90.00 gamma=120.00
Closest atoms and distances in Å follow each position.
Space group R-3m (No. 166, hexagonal axes)
Symmetry-distinct sites (fractional):
Pm: 0.0589 0.5295 0.2499 [18 per cell]  1 N 2.74, 6 Cl 2.77-2.95
N: 0.0000 0.0000 0.5000 [3 per cell]  6 Pm 2.74
Cl: 0.0270 0.5135 0.9045 [18 per cell]  3 Pm 2.77-2.78
Cl: 0.0793 0.5397 0.5946 [18 per cell]  3 Pm 2.93-2.95, 2 Cl 3.17

Values from the calculation:
Energy relative to the elements, uncorrected in eV/atom: -1.898
E in eV per atom: -5.00
M_tot in μB per cell: 0.0

---

[11]
## Pm4NCl5 (PBE)

Data for a relaxed structure of Pm4NCl5.

Unit cell a=17.3573 b=3.7708 c=7.9664 alpha=90.00 beta=104.24 gamma=90.00
Closest atoms and distances in Å follow each position.
Space group C2/m (No. 12)
Symmetry-distinct sites (fractional):
Pm: 0.0017 0.0000 0.2899 [4 per cell]  2 N 2.53, 1 Cl 2.80
Pm: 0.1443 0.5000 0.5821 [4 per cell]  1 N 2.43
N: 0.0000 0.5000 0.5000 [2 per cell]  6 Pm 2.43-2.53
Cl: 0.0000 0.5000 0.0000 [2 per cell]  4 Pm 2.98
Cl: 0.1632 0.0000 0.8480 [4 per cell]  3 Pm 2.79-2.80
Cl: 0.1715 0.0000 0.3342 [4 per cell]  4 Pm 2.85-3.10

Values from the calculation:
Energy relative to the elements, uncorrected in eV/atom: -1.887
E in eV per atom: -5.54
M_tot in μB per cell: 0.0

---

[12]
## Pm4N2Cl (PBE)

Data for a relaxed structure of Pm4N2Cl.

Unit cell a=3.6469 b=3.6469 c=39.8131 alpha=90.00 beta=90.00 gamma=120.00
Closest atoms and distances in Å follow each position.
Space group R-3m (No. 166, hexagonal axes)
Symmetry-distinct sites (fractional):
Pm: 0.0000 0.0000 0.1222 [6 per cell]  3 N 2.53
Pm: 0.0000 0.0000 0.2783 [6 per cell]  3 N 2.46
N: 0.0000 0.0000 0.4201 [6 per cell]  6 Pm 2.46-2.53
Cl: 0.0000 0.0000 0.0000 [3 per cell]  6 Pm 3.04

Values from the calculation:
Energy relative to the elements, uncorrected in eV/atom: -1.280
E in eV per atom: -6.64
M_tot in μB per cell: 0.1

---

> Which value of energy relative to the elements, uncorrected does entry 10 give?

-1.898 eV/atom

---

> The highest energy relative to the elements, uncorrected belongs to which entry?

number 1